Density functional theory data (PBE) for a geometry-optimized BaTm2P structure.

a = 10.487 Å, b = 10.487 Å, c = 10.487 Å
α = 154.11°, β = 154.11°, γ = 36.94°
Fractional positions:
Ba (0.250, 0.750, 0.500)
Ba (0.750, 0.250, 0.500)
P (0.102, 0.102, 0.000)
Tm (0.611, 0.611, 0.000)
P (0.898, 0.898, 0.000)
Tm (0.000, 0.500, 0.500)
Tm (0.389, 0.389, 0.000)
Tm (0.500, 0.000, 0.500)

Calculated values
- Space-group type: I4/mmm (139)
- Theoretical density: 7.7 g cm⁻³
- DFT total energy: -4.2259 eV/atom